# 1
A plane-wave DFT calculation with PBE was carried out for crystalline LiHo3Si3 at its relaxed geometry.

Calculated values
Density of states at the Fermi level = 7.9 states/eV/cell
Uncorrected energy = -5.25 eV/atom
Space-group type = No. 12
Density = 6.788 g/cm3

Unit cell a=5.696 b=5.696 c=13.642 alpha=108.79 beta=108.79 gamma=43.68
Element x y z (fractional)
Li 0.244 0.244 0.406
Li 0.756 0.756 0.594
Ho 0.255 0.255 0.779
Ho 0.395 0.395 0.077
Ho 0.468 0.468 0.621
Ho 0.532 0.532 0.379
Ho 0.605 0.605 0.923
Ho 0.745 0.745 0.221
Si 0.036 0.036 0.227
Si 0.111 0.111 0.076
Si 0.121 0.121 0.550
Si 0.879 0.879 0.450
Si 0.889 0.889 0.924
Si 0.964 0.964 0.773



# 2
A plane-wave DFT calculation with PBE was carried out for crystalline LiHoSi at its relaxed geometry.

Calculated values
Density of states at the Fermi level = 1.6 states/eV/cell
Uncorrected energy = -4.14 eV/atom
Space-group type = No. 107
Density = 5.340 g/cm3

Unit cell a=4.924 b=4.924 c=4.924 alpha=133.27 beta=133.27 gamma=68.24
Element x y z (fractional)
Li 0.000 0.000 0.000
Ho 0.328 0.328 0.000
Si 0.686 0.686 0.000



# 3
A plane-wave DFT calculation with PBE was carried out for crystalline LiHo2Si3 at its relaxed geometry.

Calculated values
Density of states at the Fermi level = 3.6 states/eV/cell
Uncorrected energy = -5.18 eV/atom
Space-group type = No. 69
Density = 6.209 g/cm3

Unit cell a=8.135 b=8.055 c=5.660 alpha=70.30 beta=68.78 gamma=40.92
Element x y z (fractional)
Li 0.166 0.166 0.834
Li 0.834 0.834 0.166
Ho 0.250 0.250 0.250
Ho 0.257 0.743 0.743
Ho 0.743 0.257 0.257
Ho 0.750 0.750 0.750
Si 0.163 0.670 0.330
Si 0.330 0.837 0.163
Si 0.334 0.334 0.666
Si 0.666 0.666 0.334
Si 0.670 0.163 0.837
Si 0.837 0.330 0.670



# 4
A plane-wave DFT calculation with PBE was carried out for crystalline Li4HoSi2 at its relaxed geometry.

Calculated values
Density of states at the Fermi level = 1.9 states/eV/cell
Uncorrected energy = -3.62 eV/atom
Space-group type = No. 10
Density = 3.196 g/cm3

Unit cell a=3.957 b=3.978 c=8.444 alpha=90.00 beta=103.39 gamma=90.00
Element x y z (fractional)
Li 0.172 0.000 0.348
Li 0.327 0.500 0.649
Li 0.673 0.500 0.351
Li 0.828 0.000 0.652
Ho 0.500 0.000 0.000
Si 0.070 0.500 0.141
Si 0.930 0.500 0.859



> Which of these has the highest uncorrected energy?

Li4HoSi2



> What is the formula in the third record?

LiHo2Si3



> Among the records above, which one has the lowest density?

Li4HoSi2